## KLa2Hg2Pb2 (PBE)

Data for a relaxed KLa2Hg2Pb2 crystal.

Summary:
V ... 35.7 Å³ per atom
SG ... R-3m
Energy of formation ... -2.07 eV/f.u.

Unit cell a=5.3132 b=5.3132 c=10.6729 alpha=75.59 beta=75.59 gamma=60.00
Positions (direct):
Hg 0.5573 0.5573 0.3280
Pb 0.2539 0.2539 0.2382
Pb 0.7461 0.7461 0.7618
K 0.0000 0.0000 0.0000
La 0.8648 0.8648 0.4057
Hg 0.4427 0.4427 0.6720
La 0.1352 0.1352 0.5943